Entry from Alexandria: an optimized crystal structure of Sm2AgBi (GGA-PBE).

## Properties
ΔE_f   -0.424 eV/atom
Density of states at the Fermi level   1.2183 states/eV per atom
SG   R-3m (166)
Total magnetization   0.00 μB per formula unit

Cell and atoms, written as extended XYZ:
```
4
Lattice="2.2451 1.2962 7.1879 -2.2451 1.2962 7.1879 0.0000 -2.5924 7.1879" Properties=species:S:1:pos:R:3 pbc="T T T"
Sm 0.0000 0.0000 5.3128
Sm 0.0000 0.0000 16.2508
Ag 0.0000 0.0000 10.7818
Bi 0.0000 0.0000 0.0000
```